This record from Alexandria describes a relaxed structure of CuSb2P. The functional is GGA-PBE.

## Properties
Total magnetic moment in μB per formula unit: 0.0
ΔE_f (raw) in meV per atom: 144
Space-group type: No. 6
Uncorrected energy in eV per atom: -4.29

Cell lengths 3.758, 5.023, 4.806 Å; angles 68.97, 90.00, 90.00 degrees
Fractional coordinates of all 4 atoms:
Cu1 0.000 0.525 0.529
P1 0.500 0.697 0.732
Sb1 0.000 0.969 0.976
Sb2 0.500 0.309 0.263

---

This record from Alexandria describes a relaxed structure of RbBa3Ac2Te6. The functional is GGA-PBE.

## Properties
Total magnetic moment in μB per formula unit: 0.0
ΔE_f (raw) in meV per atom: -1609
Space-group type: No. 12
Uncorrected energy in eV per atom: -4.43

Cell lengths 4.908, 9.932, 10.983 Å; angles 102.41, 102.91, 90.00 degrees
Fractional coordinates of all 12 atoms:
Rb1 0.500 0.000 0.000
Ba1 0.500 0.500 0.000
Ba2 0.839 0.164 0.678
Ba3 0.161 0.836 0.322
Ac1 0.834 0.667 0.668
Ac2 0.166 0.333 0.332
Te1 0.327 0.898 0.654
Te2 0.671 0.577 0.342
Te3 0.673 0.102 0.346
Te4 0.008 0.263 0.016
Te5 0.992 0.737 0.984
Te6 0.329 0.423 0.658

---

This record from Alexandria describes a relaxed structure of Tb2ErCd. The functional is GGA-PBE.

## Properties
Formation enthalpy at 0 K in meV/atom: -142
Total magnetic moment in μB per formula unit: 0.0
Space-group type: No. 123
E above lowest polymorph in eV per atom: 0.000
Uncorrected energy in eV per atom: -3.83

Cell lengths 3.582, 3.582, 9.048 Å; angles 90.00, 90.00, 90.00 degrees
Fractional coordinates of all 4 atoms:
Cd1 0.500 0.500 0.000
Tb1 0.000 0.000 0.770
Tb2 0.000 0.000 0.230
Er1 0.500 0.500 0.500

---

This record from Alexandria describes a relaxed structure of Ag7Pt. The functional is GGA-PBE.

## Properties
Formation enthalpy at 0 K in meV/atom: 14
Total magnetic moment in μB per formula unit: 0.0
Space-group type: No. 225
Uncorrected energy in eV per atom: -3.24

Cell lengths 5.824, 5.824, 5.824 Å; angles 60.00, 60.00, 60.00 degrees
Fractional coordinates of all 8 atoms:
Ag1 0.000 0.000 0.500
Ag2 0.000 0.500 0.000
Ag3 0.000 0.500 0.500
Ag4 0.500 0.000 0.000
Ag5 0.500 0.000 0.500
Ag6 0.500 0.500 0.000
Ag7 0.500 0.500 0.500
Pt1 0.000 0.000 0.000

---

This record from Alexandria describes a relaxed structure of LaYCd2. The functional is GGA-PBE.

## Properties
Formation enthalpy at 0 K in meV/atom: -188
Total magnetic moment in μB per formula unit: 0.0
Space-group type: No. 119
E above lowest polymorph in eV per atom: 0.147
Uncorrected energy in eV per atom: -3.49

Cell lengths 6.139, 6.139, 6.139 Å; angles 135.47, 135.47, 64.80 degrees
Fractional coordinates of all 4 atoms:
Cd1 0.000 0.000 0.000
Cd2 0.250 0.750 0.500
La1 0.500 0.500 0.000
Y1 0.750 0.250 0.500

---

This record from Alexandria describes a relaxed structure of CsPa2Cu2S6. The functional is GGA-PBE.

## Properties
Total magnetic moment in μB per formula unit: 1.1
ΔE_f (raw) in meV per atom: -1154
Space-group type: No. 2
Uncorrected energy in eV per atom: -5.95

Cell lengths 7.285, 7.655, 7.722 Å; angles 121.78, 90.85, 60.86 degrees
Each line ends with the local moment (μB).
Fractional coordinates of all 11 atoms:
Cs1 0.500 0.000 0.500  0.00
Pa1 0.831 0.339 0.832  0.58
Pa2 0.169 0.661 0.168  0.58
Cu1 0.177 0.751 0.815  -0.01
Cu2 0.823 0.249 0.185  -0.01
S1 0.410 0.754 0.008  -0.02
S2 0.996 0.415 0.159  -0.02
S3 0.158 0.839 0.582  -0.02
S4 0.004 0.585 0.841  -0.02
S5 0.842 0.161 0.418  -0.02
S6 0.590 0.246 0.992  -0.02

---

This record from Alexandria describes a relaxed structure of NaLa2CdNi. The functional is GGA-PBE.

## Properties
Formation enthalpy at 0 K in meV/atom: -27
Total magnetic moment in μB per formula unit: 0.0
Space-group type: No. 123
E above lowest polymorph in eV per atom: 0.072
Uncorrected energy in eV per atom: -3.60

Cell lengths 5.325, 5.325, 5.442 Å; angles 90.00, 90.00, 90.00 degrees
Fractional coordinates of all 5 atoms:
Ni1 0.000 0.000 0.000
Cd1 0.500 0.500 0.500
Na1 0.000 0.000 0.500
La1 0.000 0.500 0.000
La2 0.500 0.000 0.000

---

This record from Alexandria describes a relaxed structure of AlCdGe2. The functional is GGA-PBE.

## Properties
Formation enthalpy at 0 K in meV/atom: 270
Total magnetic moment in μB per formula unit: 0.0
Space-group type: No. 122
E above lowest polymorph in eV per atom: 0.127
Uncorrected energy in eV per atom: -3.20

Cell lengths 4.982, 4.982, 8.442 Å; angles 72.84, 72.84, 90.00 degrees
Fractional coordinates of all 8 atoms:
Ge1 0.588 0.125 0.250
Ge2 0.162 0.625 0.250
Ge3 0.375 0.412 0.750
Ge4 0.875 0.838 0.750
Al1 0.500 0.500 0.000
Al2 0.250 0.750 0.500
Cd1 0.000 0.000 0.000
Cd2 0.750 0.250 0.500

---

This record from Alexandria describes a relaxed structure of Mg2Si2PdPt5. The functional is GGA-PBE.

## Properties
Total magnetic moment in μB per formula unit: 0.0
ΔE_f (raw) in meV per atom: -666
Space-group type: No. 127
Uncorrected energy in eV per atom: -5.61

Cell lengths 3.620, 9.358, 9.358 Å; angles 90.00, 90.00, 90.00 degrees
Fractional coordinates of all 20 atoms:
Mg1 0.000 0.672 0.172
Mg2 0.000 0.328 0.828
Mg3 0.000 0.172 0.328
Mg4 0.000 0.828 0.672
Si1 0.000 0.130 0.630
Si2 0.000 0.870 0.370
Si3 0.000 0.630 0.870
Si4 0.000 0.370 0.130
Pd1 0.000 0.000 0.000
Pd2 0.000 0.500 0.500
Pt1 0.500 0.206 0.074
Pt2 0.500 0.794 0.926
Pt3 0.500 0.074 0.794
Pt4 0.500 0.706 0.426
Pt5 0.500 0.926 0.206
Pt6 0.500 0.294 0.574
Pt7 0.500 0.574 0.706
Pt8 0.500 0.426 0.294
Pt9 0.500 0.500 0.000
Pt10 0.500 0.000 0.500

---

This record from Alexandria describes a relaxed structure of Ca2AgGe4Pd3. The functional is GGA-PBE.

## Properties
Formation enthalpy at 0 K in meV/atom: -568
Total magnetic moment in μB per formula unit: 0.0
Space-group type: No. 115
Uncorrected energy in eV per atom: -4.66

Cell lengths 4.331, 4.331, 10.497 Å; angles 90.00, 90.00, 90.00 degrees
Fractional coordinates of all 10 atoms:
Ca1 0.500 0.000 0.247
Ca2 0.000 0.500 0.753
Ag1 0.500 0.500 0.500
Ge1 0.500 0.500 0.000
Ge2 0.000 0.000 0.000
Ge3 0.500 0.000 0.635
Ge4 0.000 0.500 0.365
Pd1 0.000 0.000 0.500
Pd2 0.500 0.000 0.871
Pd3 0.000 0.500 0.129

---

This record from Alexandria describes a relaxed structure of La2NpRu3. The functional is GGA-PBE.

## Properties
Formation enthalpy at 0 K in meV/atom: -299
Total magnetic moment in μB per formula unit: 1.5
Space-group type: No. 194
Uncorrected energy in eV per atom: -8.74

Cell lengths 5.996, 5.996, 8.048 Å; angles 90.00, 90.00, 120.00 degrees
Each line ends with the local moment (μB).
Fractional coordinates of all 12 atoms:
La1 0.667 0.333 0.441  0.01
La2 0.333 0.667 0.559  0.01
La3 0.333 0.667 0.941  0.01
La4 0.667 0.333 0.059  0.01
Np1 0.000 0.000 0.500  2.27
Np2 0.000 0.000 0.000  2.27
Ru1 0.161 0.323 0.250  -0.26
Ru2 0.323 0.161 0.750  -0.26
Ru3 0.839 0.677 0.750  -0.26
Ru4 0.161 0.839 0.250  -0.26
Ru5 0.839 0.161 0.750  -0.26
Ru6 0.677 0.839 0.250  -0.26

---

This record from Alexandria describes a relaxed structure of La2Nd3S4. The functional is GGA-PBE.

## Properties
Total magnetic moment in μB per formula unit: 0.0
ΔE_f (raw) in meV per atom: -1810
Space-group type: No. 12
Uncorrected energy in eV per atom: -6.33

Cell lengths 4.083, 7.089, 9.128 Å; angles 74.53, 77.08, 73.26 degrees
Fractional coordinates of all 9 atoms:
La1 0.601 0.195 0.603
La2 0.399 0.805 0.397
Nd1 0.000 0.000 0.000
Nd2 0.205 0.396 0.193
Nd3 0.795 0.604 0.807
S1 0.799 0.103 0.299
S2 0.201 0.897 0.701
S3 0.399 0.302 0.900
S4 0.601 0.698 0.100

---

This record from Alexandria describes a relaxed structure of SrScAs2. The functional is GGA-PBE.

## Properties
Formation enthalpy at 0 K in meV/atom: -1043
Total magnetic moment in μB per formula unit: 0.0
Space-group type: No. 160
E above lowest polymorph in eV per atom: 0.047
Uncorrected energy in eV per atom: -5.37

Cell lengths 4.078, 4.078, 7.571 Å; angles 74.38, 74.38, 60.00 degrees
Fractional coordinates of all 4 atoms:
Sr1 0.497 0.497 0.509
Sc1 0.669 0.669 0.992
As1 0.069 0.069 0.793
As2 0.265 0.265 0.205

---

This record from Alexandria describes a relaxed structure of La3IrCl2. The functional is GGA-PBE.

## Properties
Total magnetic moment in μB per formula unit: 0.1
ΔE_f (raw) in meV per atom: -1389
Space-group type: No. 71
Uncorrected energy in eV per atom: -5.94

Cell lengths 4.105, 6.100, 7.718 Å; angles 113.28, 105.42, 90.00 degrees
Fractional coordinates of all 6 atoms:
La1 0.640 0.640 0.281
La2 0.000 0.000 0.000
La3 0.360 0.360 0.719
Ir1 0.000 0.500 0.000
Cl1 0.327 0.827 0.654
Cl2 0.673 0.173 0.346

---

This record from Alexandria describes a relaxed structure of CuTe2. The functional is GGA-PBE.

## Properties
Total magnetic moment in μB per formula unit: 0.0
ΔE_f (raw) in meV per atom: 228
Space-group type: No. 123
Uncorrected energy in eV per atom: -3.23

Cell lengths 4.505, 4.505, 3.789 Å; angles 90.00, 90.00, 90.00 degrees
Fractional coordinates of all 3 atoms:
Cu1 0.000 0.000 0.000
Te1 0.000 0.500 0.500
Te2 0.500 0.000 0.500

---

This record from Alexandria describes a relaxed structure of NbTc5Ge6. The functional is GGA-PBE.

## Properties
Formation enthalpy at 0 K in meV/atom: -72
Total magnetic moment in μB per formula unit: 0.0
Space-group type: No. 12
Uncorrected energy in eV per atom: -7.54

Cell lengths 7.584, 4.344, 6.943 Å; angles 71.77, 79.70, 55.14 degrees
Fractional coordinates of all 12 atoms:
Nb1 0.000 0.000 0.000
Tc1 0.500 0.168 0.663
Tc2 0.000 0.342 0.316
Tc3 0.500 0.500 0.000
Tc4 0.000 0.658 0.684
Tc5 0.500 0.832 0.337
Ge1 0.743 0.085 0.344
Ge2 0.257 0.571 0.344
Ge3 0.267 0.232 0.000
Ge4 0.733 0.768 0.000
Ge5 0.743 0.429 0.656
Ge6 0.257 0.915 0.656

---

This record from Alexandria describes a relaxed structure of KMg3Pb9. The functional is GGA-PBE.

## Properties
Formation enthalpy at 0 K in meV/atom: -54
Total magnetic moment in μB per formula unit: 0.0
Space-group type: No. 12
Uncorrected energy in eV per atom: -3.07

Cell lengths 6.245, 8.191, 8.829 Å; angles 83.46, 69.29, 71.23 degrees
Fractional coordinates of all 13 atoms:
K1 0.000 0.000 0.000
Mg1 0.500 0.500 0.000
Mg2 0.000 0.000 0.500
Mg3 0.500 0.000 0.500
Pb1 0.708 0.786 0.777
Pb2 0.292 0.214 0.223
Pb3 0.516 0.214 0.777
Pb4 0.484 0.786 0.223
Pb5 0.660 0.346 0.360
Pb6 0.340 0.654 0.640
Pb7 0.980 0.654 0.360
Pb8 0.020 0.346 0.640
Pb9 0.000 0.500 0.000

---

This record from Alexandria describes a relaxed structure of Sc2TlTc2. The functional is GGA-PBE.

## Properties
Formation enthalpy at 0 K in meV/atom: -16
Total magnetic moment in μB per formula unit: 0.0
Space-group type: No. 127
E above lowest polymorph in eV per atom: 0.000
Uncorrected energy in eV per atom: -7.17

Cell lengths 6.929, 6.929, 4.168 Å; angles 90.00, 90.00, 90.00 degrees
Fractional coordinates of all 10 atoms:
Sc1 0.175 0.675 0.500
Sc2 0.675 0.825 0.500
Sc3 0.825 0.325 0.500
Sc4 0.325 0.175 0.500
Tl1 0.000 0.000 0.000
Tl2 0.500 0.500 0.000
Tc1 0.381 0.881 0.000
Tc2 0.881 0.619 0.000
Tc3 0.619 0.119 0.000
Tc4 0.119 0.381 0.000

---

This record from Alexandria describes a relaxed structure of HfAl2SiCl. The functional is GGA-PBE.

## Properties
Total magnetic moment in μB per formula unit: 0.0
ΔE_f (raw) in meV per atom: 762
Space-group type: No. 123
Uncorrected energy in eV per atom: -4.18

Cell lengths 4.661, 4.759, 4.661 Å; angles 90.00, 90.00, 90.00 degrees
Fractional coordinates of all 5 atoms:
Si1 0.500 0.500 0.500
Hf1 0.000 0.500 0.000
Al1 0.000 0.000 0.500
Al2 0.500 0.000 0.000
Cl1 0.000 0.000 0.000